First-principles (PBE) data for a relaxed structure of La7Pm2Pr2, as listed in Alexandria via LeMat-Bulk.

Output
Energy above the most stable polymorph in this dataset: 0.50 kcal/mol of atoms
DOS(E_F): 16.9 states/eV/f.u.
DFT total energy: -4.761 eV per atom

Cell lengths 11.6902, 11.7143, 6.2925 Å; angles 90.00, 111.44, 90.00 degrees
Closest atoms and distances in Å follow each position.
Space group C2/m (No. 12)
Unique sites:
1 La 0.0000 0.0000 0.0000  4 La 3.38, 2 Pr 3.71
2 La 0.0775 0.5000 0.8044  6 La 3.55-3.87, 3 Pr 3.64-3.94, 2 Pm 3.79
3 La 0.1833 0.2313 0.1776  2 La 3.19-3.38, 2 Pm 3.45-3.57, 1 Pr 3.46
4 Pm 0.0000 0.2152 0.5000  6 La 3.45-3.79, 2 Pr 3.56
5 Pr 0.2287 0.0000 0.5922  7 La 3.46-3.80, 2 Pm 3.56